[1]
Computed, not measured: NaSm2Dy3Te6 after structural relaxation at the PBE-GGA level of DFT.

Values from the calculation:
Density of states at the Fermi level ... 4.12 states/eV/f.u.
Electronic total energy ... -4.95 eV/atom
ΔE_f (raw) ... -1.336 eV/atom

```
data_NaSm2Dy3Te6
_chemical_formula_sum 'Na1 Sm2 Dy3 Te6'
_space_group_name_H-M_alt 'P 1'
_space_group_IT_number 1
_cell_length_a 4.3822
_cell_length_b 8.8764
_cell_length_c 9.8887
_cell_angle_alpha 103.32
_cell_angle_beta 102.80
_cell_angle_gamma 90.00
loop_
_space_group_symop_operation_xyz
'x,y,z'
loop_
_atom_site_label
_atom_site_type_symbol
_atom_site_fract_x
_atom_site_fract_y
_atom_site_fract_z
Na1 Na 0.5000 0.0000 0.0000
Sm1 Sm 0.8290 0.6554 0.6579
Sm2 Sm 0.1710 0.3446 0.3421
Dy1 Dy 0.5000 0.5000 0.0000
Dy2 Dy 0.8339 0.1726 0.6679
Dy3 Dy 0.1661 0.8274 0.3321
Te1 Te 0.3319 0.9207 0.6638
Te2 Te 0.6629 0.5885 0.3258
Te3 Te 0.6681 0.0793 0.3362
Te4 Te 0.0002 0.2533 0.0005
Te5 Te 0.9998 0.7467 0.9995
Te6 Te 0.3371 0.4115 0.6742
```


[2]
Computed, not measured: Tl2PbF4 after structural relaxation at the PBE-GGA level of DFT.

Values from the calculation:
Density of states at the Fermi level ... 0.00 states/eV/f.u.
Electronic total energy ... -4.21 eV/atom
ΔE_f (raw) ... -1.938 eV/atom

```
data_Tl2PbF4
_chemical_formula_sum 'Tl4 Pb2 F8'
_space_group_name_H-M_alt 'P 1'
_space_group_IT_number 1
_cell_length_a 7.5446
_cell_length_b 5.7410
_cell_length_c 8.3592
_cell_angle_alpha 90.00
_cell_angle_beta 101.21
_cell_angle_gamma 90.00
loop_
_space_group_symop_operation_xyz
'x,y,z'
loop_
_atom_site_label
_atom_site_type_symbol
_atom_site_fract_x
_atom_site_fract_y
_atom_site_fract_z
Tl1 Tl 0.6486 0.7500 0.1307
Tl2 Tl 0.3514 0.2500 0.8693
Tl3 Tl 0.1683 0.2500 0.4391
Tl4 Tl 0.8317 0.7500 0.5609
Pb1 Pb 0.1273 0.7500 0.1370
Pb2 Pb 0.8727 0.2500 0.8630
F1 F 0.3617 0.5071 0.1258
F2 F 0.0177 0.7500 0.8471
F3 F 0.9823 0.2500 0.1529
F4 F 0.3617 0.9929 0.1258
F5 F 0.8887 0.2500 0.5714
F6 F 0.6383 0.0071 0.8742
F7 F 0.6383 0.4929 0.8742
F8 F 0.1113 0.7500 0.4286
```


[3]
Computed, not measured: Pr2Y3Hg3 after structural relaxation at the PBE-GGA level of DFT.

Values from the calculation:
Formation enthalpy at 0 K ... -0.364 eV per atom
Density of states at the Fermi level ... 7.31 states/eV/f.u.
Electronic total energy ... -4.10 eV/atom

```
data_Pr2Y3Hg3
_chemical_formula_sum 'Pr2 Y3 Hg3'
_space_group_name_H-M_alt 'P 1'
_space_group_IT_number 1
_cell_length_a 3.7924
_cell_length_b 5.3195
_cell_length_c 11.7847
_cell_angle_alpha 103.04
_cell_angle_beta 99.26
_cell_angle_gamma 90.00
loop_
_space_group_symop_operation_xyz
'x,y,z'
loop_
_atom_site_label
_atom_site_type_symbol
_atom_site_fract_x
_atom_site_fract_y
_atom_site_fract_z
Pr1 Pr 0.2704 0.7704 0.5407
Pr2 Pr 0.7296 0.2296 0.4593
Y1 Y 0.3827 0.3827 0.7655
Y2 Y 0.6173 0.6173 0.2345
Y3 Y 0.5000 0.0000 0.0000
Hg1 Hg 0.8874 0.8874 0.7749
Hg2 Hg 0.0000 0.5000 0.0000
Hg3 Hg 0.1126 0.1126 0.2251
```